{
  "formula": "Fe5Re",
  "functional": "PBE",
  "state": "optimized geometry",
  "lattice_angstrom": [[1.2781, 4.5621, -0.0028], [-1.2781, 4.5621, -0.0028], [0.0000, 1.4182, 5.7364]],
  "species": ["Fe", "Fe", "Fe", "Fe", "Fe", "Re"],
  "fractional_positions": [[0.0029, 0.0029, 0.0044], [0.6070, 0.6070, 0.2831], [0.3318, 0.3318, 0.3403], [0.9494, 0.9494, 0.6025], [0.6631, 0.6631, 0.6590], [0.2793, 0.2793, 0.9441]],
  "volume_a3_per_cell": 67,
  "formation_energy_mev_per_atom": 111,
  "relative_energy_ev_per_fu": 0.54,
  "e_tot_ev_per_atom": -9.02,
  "m_tot_mub_per_atom": 0.0011
}